# 1
## YSi2Bi2Pt7 (PBE)

Data for crystalline YSi2Bi2Pt7 at its relaxed geometry.

Unit cell a=4.0181 b=4.0181 c=15.3434 alpha=82.50 beta=82.50 gamma=90.00
Closest atoms and distances in Å follow each position.
Element x y z (fractional)
Si  0.3837  0.3837  0.2344  5 Pt 2.34-2.41
Pt  0.4276  0.9275  0.1465  2 Si 2.41
Pt  0.3055  0.3055  0.3893  1 Si 2.34
Bi  0.2090  0.2090  0.5811  5 Pt 2.87-2.89
Pt  0.5000  0.5000  0.0000  4 Y 2.84, 8 Pt 2.98-2.99
Pt  0.6945  0.6945  0.6107  1 Si 2.34
Pt  0.0725  0.5724  0.8535  2 Si 2.41
Si  0.6163  0.6163  0.7656  5 Pt 2.34-2.41
Pt  0.9275  0.4276  0.1465  2 Si 2.41
Y  0.0000  0.0000  0.0000  12 Pt 2.84-2.99
Bi  0.7910  0.7910  0.4189  5 Pt 2.87-2.89
Pt  0.5724  0.0725  0.8535  2 Si 2.41

## Properties
**ΔE_f (raw)**: -751 kJ/mol of formula units
**SG**: C2/m, No. 12



# 2
## Sm4BiPt2 (PBE)

Data for crystalline Sm4BiPt2 at its relaxed geometry.

Unit cell a=8.2821 b=8.2821 c=8.2954 alpha=109.25 beta=109.24 gamma=109.86
Closest atoms and distances in Å follow each position.
Element x y z (fractional)
Pt  0.6250  0.3750  0.2500  6 Sm 2.78-2.99
Sm  0.4764  0.6593  0.8184  3 Pt 2.78-2.99
Pt  0.6250  0.3750  0.7500  6 Sm 2.78-2.99
Bi  0.2499  0.7499  0.5000  4 Sm 3.17
Sm  0.7736  0.0907  0.6816  3 Pt 2.78-2.99
Sm  0.9080  0.5909  0.6816  3 Pt 2.78-2.99
Sm  0.3419  0.1591  0.8184  3 Pt 2.78-2.99
Sm  0.4091  0.0920  0.3184  3 Pt 2.78-2.99
Bi  0.0001  0.0001  0.0000  4 Sm 3.17
Pt  0.6250  0.8750  0.2500  6 Sm 2.78-2.99
Sm  0.8409  0.6580  0.1816  3 Pt 2.78-2.99
Sm  0.3408  0.5236  0.1816  3 Pt 2.78-2.99
Sm  0.9093  0.2264  0.3184  3 Pt 2.78-2.99
Pt  0.1250  0.3750  0.7500  6 Sm 2.78-2.99

## Properties
**Energy of formation**: -0.820 eV/atom
**SG**: Fddd, No. 70